Version A
# MgZnSe, optimized geometry, DFT PBE
# Magnetization in μB per formula unit: 0.00
# Calculated density in g cm⁻³: 4.24
data_MgZnSe
_chemical_formula_sum 'Mg4 Zn4 Se4'
_space_group_name_H-M_alt 'P 21 3'
_space_group_IT_number 198
_space_group_name_Hall 'P 2ac 2ab 3'
_cell_length_a 6.415
_cell_length_b 6.415
_cell_length_c 6.415
_cell_angle_alpha 90.00
_cell_angle_beta 90.00
_cell_angle_gamma 90.00
loop_
_atom_site_label
_atom_site_type_symbol
_atom_site_fract_x
_atom_site_fract_y
_atom_site_fract_z
_atom_site_occupancy
Mg1 Mg 0.111 0.111 0.111 1
Zn1 Zn 0.021 0.521 0.979 1
Se1 Se 0.122 0.378 0.622 1

***

Version B
# MgZnSe, optimized geometry, DFT PBE
# Magnetization in μB per formula unit: 0.00
# Calculated density in g cm⁻³: 4.61
data_MgZnSe
_chemical_formula_sum 'Mg2 Zn2 Se2'
_space_group_name_H-M_alt 'P 63/m m c'
_space_group_IT_number 194
_space_group_name_Hall '-P 6c 2c'
_cell_length_a 5.1386
_cell_length_b 5.1386
_cell_length_c 5.3137
_cell_angle_alpha 90.00
_cell_angle_beta 90.00
_cell_angle_gamma 120.00
loop_
_atom_site_label
_atom_site_type_symbol
_atom_site_fract_x
_atom_site_fract_y
_atom_site_fract_z
_atom_site_occupancy
Mg1 Mg 0.3333 0.6667 0.2500 1
Zn1 Zn 0.0000 0.0000 0.0000 1
Se1 Se 0.3333 0.6667 0.7500 1

***

Version C
# MgZnSe, optimized geometry, DFT PBE
# Magnetization in μB per formula unit: 0.00
# Calculated density in g cm⁻³: 3.14
data_MgZnSe
_chemical_formula_sum 'Mg4 Zn4 Se4'
_space_group_name_H-M_alt 'P m m n'
_space_group_IT_number 59
_cell_length_a 3.992
_cell_length_b 16.345
_cell_length_c 5.474
_cell_angle_alpha 90.00
_cell_angle_beta 90.00
_cell_angle_gamma 90.00
loop_
_space_group_symop_operation_xyz
'x,y,z'
'-x,-y,-z'
'-x+1/2,-y+1/2,z'
'x+1/2,y+1/2,-z'
'x+1/2,-y,-z'
'-x+1/2,y,z'
'-x,y+1/2,-z'
'x,-y+1/2,z'
loop_
_atom_site_label
_atom_site_type_symbol
_atom_site_fract_x
_atom_site_fract_y
_atom_site_fract_z
_atom_site_occupancy
Mg1 Mg 0.250 0.072 0.008 1
Zn1 Zn 0.250 0.560 0.335 1
Se1 Se 0.250 0.120 0.457 1

***

Version D
# MgZnSe, optimized geometry, DFT PBE
# Magnetization in μB per formula unit: 0.00
# Calculated density in g cm⁻³: 4.38
data_MgZnSe
_chemical_formula_sum 'Mg4 Zn4 Se4'
_space_group_name_H-M_alt 'P n m a'
_space_group_IT_number 62
_space_group_name_Hall '-P 2ac 2n'
_cell_length_a 6.234
_cell_length_b 3.690
_cell_length_c 11.120
_cell_angle_alpha 90.00
_cell_angle_beta 90.00
_cell_angle_gamma 90.00
loop_
_atom_site_label
_atom_site_type_symbol
_atom_site_fract_x
_atom_site_fract_y
_atom_site_fract_z
_atom_site_occupancy
Mg1 Mg 0.226 0.250 0.002 1
Zn1 Zn 0.079 0.750 0.810 1
Se1 Se 0.070 0.250 0.645 1

***

Most stable structure: version D

***

Version A
# MgZnSe, optimized geometry, DFT PBE
# Magnetization in μB per formula unit: 0.00
# Calculated density in g cm⁻³: 2.98
data_MgZnSe
_chemical_formula_sum 'Mg1 Zn1 Se1'
_space_group_name_H-M_alt 'P -6 m 2'
_space_group_IT_number 187
_space_group_name_Hall 'P -6 2'
_cell_length_a 4.3267
_cell_length_b 4.3267
_cell_length_c 5.7897
_cell_angle_alpha 90.00
_cell_angle_beta 90.00
_cell_angle_gamma 120.00
loop_
_atom_site_label
_atom_site_type_symbol
_atom_site_fract_x
_atom_site_fract_y
_atom_site_fract_z
_atom_site_occupancy
Mg1 Mg 0.0000 0.0000 0.0000 1
Zn1 Zn 0.6667 0.3333 0.5000 1
Se1 Se 0.3333 0.6667 0.0000 1

***

Version B
# MgZnSe, optimized geometry, DFT PBE
# Magnetization in μB per formula unit: 0.27
# Calculated density in g cm⁻³: 4.00
data_MgZnSe
_chemical_formula_sum 'Mg4 Zn4 Se4'
_space_group_name_H-M_alt 'C m m m'
_space_group_IT_number 65
_space_group_name_Hall '-C 2 2'
_cell_length_a 3.800
_cell_length_b 20.177
_cell_length_c 3.652
_cell_angle_alpha 90.00
_cell_angle_beta 90.00
_cell_angle_gamma 90.00
loop_
_atom_site_label
_atom_site_type_symbol
_atom_site_fract_x
_atom_site_fract_y
_atom_site_fract_z
_atom_site_occupancy
Mg1 Mg 0.000 0.076 0.000 1
Zn1 Zn 0.000 0.289 0.000 1
Se1 Se 0.000 0.384 0.500 1

***

Most stable structure: version B

***

Version A
# MgZnSe, optimized geometry, DFT PBE
# Magnetization in μB per formula unit: 0.00
# Calculated density in g cm⁻³: 4.38
data_MgZnSe
_chemical_formula_sum 'Mg2 Zn2 Se2'
_space_group_name_H-M_alt 'P 4/n m m'
_space_group_IT_number 129
_cell_length_a 3.778
_cell_length_b 3.778
_cell_length_c 8.963
_cell_angle_alpha 90.00
_cell_angle_beta 90.00
_cell_angle_gamma 90.00
loop_
_space_group_symop_operation_xyz
'x,y,z'
'-x,-y,-z'
'-y+1/2,x,z'
'y+1/2,-x,-z'
'-x+1/2,-y+1/2,z'
'x+1/2,y+1/2,-z'
'y,-x+1/2,z'
'-y,x+1/2,-z'
'x+1/2,-y,-z'
'-x+1/2,y,z'
'-y,-x,-z'
'y,x,z'
'-x,y+1/2,-z'
'x,-y+1/2,z'
'y+1/2,x+1/2,-z'
'-y+1/2,-x+1/2,z'
loop_
_atom_site_label
_atom_site_type_symbol
_atom_site_fract_x
_atom_site_fract_y
_atom_site_fract_z
_atom_site_occupancy
Mg1 Mg 0.250 0.250 0.138 1
Zn1 Zn 0.250 0.750 0.500 1
Se1 Se 0.250 0.250 0.834 1

***

Version B
# MgZnSe, optimized geometry, DFT PBE
# Magnetization in μB per formula unit: 0.00
# Calculated density in g cm⁻³: 3.51
data_MgZnSe
_chemical_formula_sum 'Mg4 Zn4 Se4'
_space_group_name_H-M_alt 'C m c m'
_space_group_IT_number 63
_space_group_name_Hall '-C 2c 2'
_cell_length_a 6.892
_cell_length_b 6.067
_cell_length_c 7.643
_cell_angle_alpha 90.00
_cell_angle_beta 90.00
_cell_angle_gamma 90.00
loop_
_atom_site_label
_atom_site_type_symbol
_atom_site_fract_x
_atom_site_fract_y
_atom_site_fract_z
_atom_site_occupancy
Mg1 Mg 0.000 0.216 0.250 1
Zn1 Zn 0.000 0.210 0.750 1
Se1 Se 0.000 0.500 0.000 1

***

Version C
# MgZnSe, optimized geometry, DFT PBE
# Magnetization in μB per formula unit: 0.00
# Calculated density in g cm⁻³: 3.93
data_MgZnSe
_chemical_formula_sum 'Mg6 Zn6 Se6'
_space_group_name_H-M_alt 'A m m 2'
_space_group_IT_number 38
_space_group_name_Hall 'A 2 -2'
_cell_length_a 3.839
_cell_length_b 18.044
_cell_length_c 6.169
_cell_angle_alpha 90.00
_cell_angle_beta 90.00
_cell_angle_gamma 90.00
loop_
_atom_site_label
_atom_site_type_symbol
_atom_site_fract_x
_atom_site_fract_y
_atom_site_fract_z
_atom_site_occupancy
Mg1 Mg 0.000 0.000 0.000 1
Mg2 Mg 0.000 0.179 0.700 1
Zn1 Zn 0.500 0.000 0.666 1
Zn2 Zn 0.500 0.139 0.380 1
Se1 Se 0.000 0.177 0.130 1
Se2 Se 0.500 0.000 0.268 1

***

Most stable structure: version A

***

Version A
# MgZnSe, optimized geometry, DFT PBE
# Magnetization in μB per formula unit: 0.00
# Calculated density in g cm⁻³: 4.18
data_MgZnSe
_chemical_formula_sum 'Mg2 Zn2 Se2'
_space_group_name_H-M_alt 'P m m a'
_space_group_IT_number 51
_space_group_name_Hall '-P 2a 2a'
_cell_length_a 6.333
_cell_length_b 3.721
_cell_length_c 5.686
_cell_angle_alpha 90.00
_cell_angle_beta 90.00
_cell_angle_gamma 90.00
loop_
_atom_site_label
_atom_site_type_symbol
_atom_site_fract_x
_atom_site_fract_y
_atom_site_fract_z
_atom_site_occupancy
Mg1 Mg 0.000 0.000 0.000 1
Zn1 Zn 0.250 0.000 0.425 1
Se1 Se 0.250 0.500 0.782 1

***

Version B
# MgZnSe, optimized geometry, DFT PBE
# Magnetization in μB per formula unit: 0.00
# Calculated density in g cm⁻³: 4.19
data_MgZnSe
_chemical_formula_sum 'Mg4 Zn4 Se4'
_space_group_name_H-M_alt 'F m m 2'
_space_group_IT_number 42
_space_group_name_Hall 'F 2 -2'
_cell_length_a 3.845
_cell_length_b 6.202
_cell_length_c 11.220
_cell_angle_alpha 90.00
_cell_angle_beta 90.00
_cell_angle_gamma 90.00
loop_
_atom_site_label
_atom_site_type_symbol
_atom_site_fract_x
_atom_site_fract_y
_atom_site_fract_z
_atom_site_occupancy
Mg1 Mg 0.000 0.000 0.000 1
Zn1 Zn 0.000 0.000 0.691 1
Se1 Se 0.000 0.000 0.342 1

***

Version C
# MgZnSe, optimized geometry, DFT PBE
# Magnetization in μB per formula unit: 0.00
# Calculated density in g cm⁻³: 4.45
data_MgZnSe
_chemical_formula_sum 'Mg3 Zn3 Se3'
_space_group_name_H-M_alt 'P -6 2 m'
_space_group_IT_number 189
_space_group_name_Hall 'P -6 -2'
_cell_length_a 7.7245
_cell_length_b 7.7245
_cell_length_c 3.6580
_cell_angle_alpha 90.00
_cell_angle_beta 90.00
_cell_angle_gamma 120.00
loop_
_atom_site_label
_atom_site_type_symbol
_atom_site_fract_x
_atom_site_fract_y
_atom_site_fract_z
_atom_site_occupancy
Mg1 Mg 0.0000 0.2609 0.0000 1
Zn1 Zn 0.0000 0.0000 0.5000 1
Zn2 Zn 0.3333 0.6667 0.0000 1
Se1 Se 0.0000 0.5176 0.5000 1

***

Version D
# MgZnSe, optimized geometry, DFT PBE
# Magnetization in μB per formula unit: 0.00
# Calculated density in g cm⁻³: 4.11
data_MgZnSe
_chemical_formula_sum 'Mg4 Zn4 Se4'
_space_group_name_H-M_alt 'P m c 21'
_space_group_IT_number 26
_space_group_name_Hall 'P 2c -2'
_cell_length_a 3.785
_cell_length_b 11.783
_cell_length_c 6.106
_cell_angle_alpha 90.00
_cell_angle_beta 90.00
_cell_angle_gamma 90.00
loop_
_atom_site_label
_atom_site_type_symbol
_atom_site_fract_x
_atom_site_fract_y
_atom_site_fract_z
_atom_site_occupancy
Mg1 Mg 0.000 0.115 0.000 1
Mg2 Mg 0.000 0.375 0.714 1
Zn1 Zn 0.500 0.182 0.678 1
Zn2 Zn 0.500 0.342 0.376 1
Se1 Se 0.000 0.107 0.433 1
Se2 Se 0.000 0.402 0.138 1

***

Most stable structure: version A